Compound: Pr6Sm12Th
Source: the Alexandria database
Functional: PBE
Structure: optimized geometry

Geometry as CIF:
```
data_Pr6Sm12Th
_cell_length_a 8.892
_cell_length_b 8.892
_cell_length_c 8.892
_cell_angle_alpha 98.19
_cell_angle_beta 98.19
_cell_angle_gamma 98.19
_space_group_name_H-M_alt 'P 1'
_space_group_IT_number 1
loop_
_space_group_symop_operation_xyz
'x,y,z'
loop_
_atom_site_label
_atom_site_type_symbol
_atom_site_fract_x
_atom_site_fract_y
_atom_site_fract_z
_atom_site_occupancy
Pr1 Pr 0.141 0.141 0.406 1
Pr2 Pr 0.859 0.594 0.859 1
Pr3 Pr 0.594 0.859 0.859 1
Pr4 Pr 0.859 0.859 0.594 1
Pr5 Pr 0.141 0.406 0.141 1
Pr6 Pr 0.406 0.141 0.141 1
Sm1 Sm 0.587 0.170 0.587 1
Sm2 Sm 0.170 0.587 0.587 1
Sm3 Sm 0.587 0.587 0.170 1
Sm4 Sm 0.413 0.830 0.413 1
Sm5 Sm 0.830 0.413 0.413 1
Sm6 Sm 0.413 0.413 0.830 1
Sm7 Sm 0.262 0.000 0.738 1
Sm8 Sm 0.262 0.738 0.000 1
Sm9 Sm 0.000 0.262 0.738 1
Sm10 Sm 0.738 0.000 0.262 1
Sm11 Sm 0.738 0.262 0.000 1
Sm12 Sm 0.000 0.738 0.262 1
Th1 Th 0.000 0.000 0.000 1
```

Output
E_form	121	meV/atom
space-group type	R-3m (166)